Material: V3Cd5P6O25
Method: DFT, GGA+U
State: relaxed

uncorrected energy: -521.40 eV per cell
space-group type: C2/c, No. 15

Lattice parameters (Å, degrees): 8.8995 8.8995 24.6632 102.65 102.65 31.34
Atoms (fractional coordinates):
V1 0.0574 0.9426 0.7500
V2 0.2291 0.2321 0.0869
V3 0.2321 0.2291 0.5869
V4 0.7679 0.7709 0.4131
V5 0.7709 0.7679 0.9131
V6 0.9426 0.0574 0.2500
Cd1 0.0000 0.0000 0.0000
Cd2 0.0000 0.0000 0.5000
Cd3 0.3072 0.3594 0.2917
Cd4 0.3594 0.3072 0.7917
Cd5 0.4160 0.4627 0.1163
Cd6 0.4627 0.4160 0.6163
Cd7 0.5373 0.5840 0.3837
Cd8 0.5840 0.5373 0.8837
Cd9 0.6406 0.6928 0.2083
Cd10 0.6928 0.6406 0.7083
P1 0.0277 0.1149 0.1408
P2 0.1149 0.0277 0.6408
P3 0.1602 0.1931 0.8256
P4 0.1931 0.1602 0.3256
P5 0.3279 0.3727 0.4969
P6 0.3727 0.3279 0.9969
P7 0.6273 0.6721 0.0031
P8 0.6721 0.6273 0.5031
P9 0.8069 0.8398 0.6744
P10 0.8398 0.8069 0.1744
P11 0.8851 0.9723 0.3592
P12 0.9723 0.8851 0.8592
O1 0.0214 0.2895 0.1356
O2 0.0495 0.7595 0.6881
O3 0.0616 0.4268 0.3543
O4 0.0767 0.6539 0.4640
O5 0.0849 0.3177 0.7711
O6 0.1043 0.5579 0.1378
O7 0.1252 0.4551 0.9582
O8 0.1301 0.7435 0.8032
O9 0.1380 0.8556 0.9075
O10 0.1444 0.8620 0.5925
O11 0.1977 0.4373 0.5482
O12 0.2108 0.6618 0.3522
O13 0.2405 0.9505 0.8119
O14 0.2565 0.8699 0.6968
O15 0.2838 0.7162 0.2500
O16 0.2895 0.0214 0.6356
O17 0.3049 0.5571 0.0223
O18 0.3177 0.0849 0.2711
O19 0.3382 0.7892 0.1478
O20 0.3461 0.9233 0.0360
O21 0.4268 0.0616 0.8543
O22 0.4373 0.1977 0.0482
O23 0.4421 0.8957 0.3622
O24 0.4429 0.6951 0.4777
O25 0.4551 0.1252 0.4582
O26 0.5449 0.8748 0.5418
O27 0.5571 0.3049 0.5223
O28 0.5579 0.1043 0.6378
O29 0.5627 0.8023 0.9518
O30 0.5732 0.9384 0.1457
O31 0.6539 0.0767 0.9640
O32 0.6618 0.2108 0.8522
O33 0.6823 0.9151 0.7289
O34 0.6951 0.4429 0.9777
O35 0.7105 0.9786 0.3644
O36 0.7162 0.2838 0.7500
O37 0.7435 0.1301 0.3032
O38 0.7595 0.0495 0.1881
O39 0.7892 0.3382 0.6478
O40 0.8023 0.5627 0.4518
O41 0.8556 0.1380 0.4075
O42 0.8620 0.1444 0.0925
O43 0.8699 0.2565 0.1968
O44 0.8748 0.5449 0.0418
O45 0.8957 0.4421 0.8622
O46 0.9151 0.6823 0.2289
O47 0.9233 0.3461 0.5360
O48 0.9384 0.5732 0.6457
O49 0.9505 0.2405 0.3119
O50 0.9786 0.7105 0.8644